ZrReCl2: optimized geometry, PBE.

Properties
As for the excess energy over the best structure of this formula in the dataset: 1219 meV/atom. Its space-group type is Fm-3m. The value obtained for the mass density is 8.26 g/cm³. The total energy is -5.4994 eV/atom. For the total magnetic moment, the calculation gives 2.85 μB/f.u. The density of states at the Fermi level comes out at 1.25 states/eV/atom.

Lattice parameters (Å, degrees): 4.6270 4.6270 4.6270 60.00 60.00 60.00
Closest atoms and distances in Å follow each position.
Positions (direct):
1 Zr 0.0000 0.0000 0.0000  8 Cl 2.83
2 Re 0.5000 0.5000 0.5000  8 Cl 2.83
3 Cl 0.2500 0.2500 0.2500  4 Zr 2.83, 4 Re 2.83
4 Cl 0.7500 0.7500 0.7500  4 Zr 2.83, 4 Re 2.83